Record 1
Computed, not measured: Be3Cu5 after structural relaxation at the PBE level of DFT.

abc: 6.4893 6.4893 4.5953
angles: 90.00 90.00 120.00
Fractional positions:
Be 0.0000 0.4043 0.2500
Be 0.0000 0.5957 0.7500
Be 0.4043 0.0000 0.2500
Be 0.4043 0.4043 0.7500
Be 0.5957 0.0000 0.7500
Be 0.5957 0.5957 0.2500
Cu 0.0000 0.2401 0.7500
Cu 0.0000 0.7599 0.2500
Cu 0.2401 0.0000 0.7500
Cu 0.2401 0.2401 0.2500
Cu 0.3333 0.6667 0.0000
Cu 0.3333 0.6667 0.5000
Cu 0.6667 0.3333 0.0000
Cu 0.6667 0.3333 0.5000
Cu 0.7599 0.0000 0.2500
Cu 0.7599 0.7599 0.7500

Density = 6.8 g/cm3
E = -0.293 Ry per atom
Formation energy from the elements = -0.03 eV per atom

Record 2
Computed, not measured: Be2Cu3 after structural relaxation at the PBE level of DFT.

abc: 3.7387 3.7387 4.5932
angles: 90.00 90.00 120.00
Fractional positions:
Be 0.3333 0.6667 0.3547
Be 0.6667 0.3333 0.6453
Cu 0.0000 0.0000 0.5000
Cu 0.3333 0.6667 0.8489
Cu 0.6667 0.3333 0.1511

Density = 6.2 g/cm3
E = -0.283 Ry per atom
Formation energy from the elements = 0.09 eV per atom